1.
First-principles (SCAN) data for a PBEsol-optimized structure of MgCd2Au, as listed in the Alexandria database.

Cell: 3.1387 4.4497 5.8145 Å, 90.00 105.66 90.00°
Last column: nearest neighbours and their distance in Å.
Atoms (fractional coordinates):
Cd (0.1775, 0.0000, 0.3550)  2 Au 2.80, 4 Cd 2.94, 3 Mg 2.99-3.05
Cd (0.5791, 0.5000, 0.1581)  1 Au 2.79, 4 Cd 2.94
Mg (0.9107, 0.0000, 0.8214)  4 Au 2.87, 3 Cd 2.99-3.05, 2 Mg 3.14
Au (0.3296, 0.5000, 0.6592)  3 Cd 2.79-2.80, 4 Mg 2.87

Its crystal system is orthorhombic. Its total energy is -34.042 eV/atom. The theoretical density is 9.47 g/cm3.

***

2.
First-principles (SCAN) data for a PBEsol-optimized structure of MgCdSiAu2, as listed in the Alexandria database.

Cell: 4.7862 4.8639 4.8639 Å, 90.00 90.00 90.00°
Last column: nearest neighbours and their distance in Å.
Atoms (fractional coordinates):
Cd (0.5000, 0.5000, 0.5000)  8 Au 3.41, 4 Si 3.44
Au (0.0000, 0.0000, 0.5000)  2 Mg 2.43
Au (0.0000, 0.5000, 0.0000)  2 Mg 2.43
Si (0.5000, 0.0000, 0.0000)  2 Mg 2.39
Mg (0.0000, 0.0000, 0.0000)  2 Si 2.39, 4 Au 2.43

Its crystal system is tetragonal. As for the uncorrected formation energy: 62.7 kJ/mol of atoms. Its total energy is -36.094 eV/atom. The theoretical density is 8.19 g/cm3.

***

3.
First-principles (SCAN) data for a PBEsol-optimized structure of MnCdAu2, as listed in the Alexandria database.

Cell: 3.1432 4.7054 4.9776 Å, 103.14 108.41 90.00°
Last column: nearest neighbours and their distance in Å.
Atoms (fractional coordinates):
Au (0.0062, 0.0254, 0.0124)  3 Mn 2.72-2.84, 4 Cd 2.80-2.86, 3 Au 2.92-2.95
Au (0.2511, 0.7379, 0.5022)  3 Cd 2.78-2.85, 4 Mn 2.79-2.87, 3 Au 2.92-2.95
Cd (0.4979, 0.5128, 0.9958)  7 Au 2.78-2.86, 3 Mn 2.91-2.97
Mn (0.7448, 0.2239, 0.4896)  7 Au 2.72-2.87, 3 Cd 2.91-2.97

Its crystal system is monoclinic. Its total energy is -47.040 eV/atom. The theoretical density is 13.74 g/cm3.

***

> Which formula does entry 1 have?

MgCd2Au